MgSc2Ga2, single point on PBEsol structure, DFT meta-GGA SCAN; electronic total energy = -13.8340 eV per atom; ΔH_f (0 K) = -606 meV per atom; D(E_F) = 3.6 states/eV/f.u.; SG = P4/mbm (127)
1.0
7.1765 0.0000 0.0000
0.0000 7.1765 0.0000
0.0000 0.0000 3.7708
Mg Sc Ga
2 4 4
direct
0.0000 0.0000 0.0000
0.5000 0.5000 0.0000
0.1742 0.3258 0.5000
0.3258 0.8258 0.5000
0.6742 0.1742 0.5000
0.8258 0.6742 0.5000
0.1242 0.6242 0.0000
0.3758 0.1242 0.0000
0.6242 0.8758 0.0000
0.8758 0.3758 0.0000